Density functional theory data (PBE with a Hubbard U) for a relaxed structure of Cr3SbP6O24.

Unit cell a=8.8265 b=8.8265 c=8.8265 alpha=57.23 beta=57.23 gamma=57.23
Site moments in Bohr magnetons follow the coordinates.
Fractional coordinates of all 34 atoms:
P (0.0332, 0.7499, 0.4663)  0.01
P (0.5384, 0.9676, 0.2488)  0.01
P (0.2488, 0.5384, 0.9676)  0.01
P (0.7499, 0.4663, 0.0332)  0.01
P (0.9676, 0.2488, 0.5384)  0.01
P (0.4663, 0.0332, 0.7499)  0.01
O (0.8054, 0.6194, 0.0039)  -0.09
O (0.3775, 0.9850, 0.2080)  -0.01
O (0.7344, 0.9072, 0.0950)  -0.19
O (0.5107, 0.1587, 0.2390)  -0.11
O (0.4439, 0.5382, 0.8042)  -0.15
O (0.4815, 0.1856, 0.5461)  -0.14
O (0.1053, 0.8938, 0.2615)  -0.01
O (0.0950, 0.7344, 0.9072)  -0.19
O (0.1856, 0.5461, 0.4815)  -0.14
O (0.8042, 0.4439, 0.5382)  -0.15
O (0.4840, 0.8461, 0.7577)  -0.12
O (0.2615, 0.1053, 0.8938)  -0.01
O (0.8461, 0.7577, 0.4840)  -0.12
O (0.5461, 0.4815, 0.1856)  -0.14
O (0.6194, 0.0039, 0.8054)  -0.09
O (0.7577, 0.4840, 0.8461)  -0.12
O (0.0039, 0.8054, 0.6194)  -0.09
O (0.5382, 0.8042, 0.4439)  -0.15
O (0.2080, 0.3775, 0.9850)  -0.01
O (0.9850, 0.2080, 0.3775)  -0.01
O (0.1587, 0.2390, 0.5107)  -0.11
O (0.8938, 0.2615, 0.1053)  -0.01
O (0.9072, 0.0950, 0.7344)  -0.19
O (0.2390, 0.5107, 0.1587)  -0.11
Sb (0.1418, 0.1418, 0.1418)  0.00
Cr (0.6469, 0.6469, 0.6469)  2.48
Cr (0.8581, 0.8581, 0.8581)  2.53
Cr (0.3568, 0.3568, 0.3568)  2.51

Total DFT energy (no corrections): -7.094 eV per atom
Density of states at the Fermi level: 0.39 states/eV per atom
Spin magnetization: 0.146 μB per atom